{
  "formula": "ZrAl2Ag",
  "functional": "SCAN",
  "state": "single point on PBEsol structure",
  "formation_enthalpy_0k_kj_per_mol_atoms": -32.42,
  "polymorph_energy_mev_per_atom": 93.8,
  "lattice": [[3.034, 0.000, 0.000], [0.000, 3.034, 0.000], [0.000, 0.000, 7.483]],
  "species": ["Zr", "Al", "Al", "Ag"],
  "frac_coords": [[0.000, 0.000, 0.000], [0.500, 0.500, 0.271], [0.500, 0.500, 0.729], [0.000, 0.000, 0.500]]
}

{
  "formula": "Zr2AlAg",
  "functional": "SCAN",
  "state": "single point on PBEsol structure",
  "formation_enthalpy_0k_kj_per_mol_atoms": -25.60,
  "lattice": [[4.215, 0.000, 0.000], [0.000, 4.215, 0.000], [0.000, 0.000, 4.238]],
  "species": ["Zr", "Zr", "Al", "Ag"],
  "frac_coords": [[0.000, 0.500, 0.000], [0.500, 0.000, 0.000], [0.000, 0.000, 0.500], [0.500, 0.500, 0.500]]
}